1.
! TaZn2Rh3 (PBE-GGA, relaxed); values from VASP
! **ΔE to the lowest computed polymorph**: 0 meV/atom
! **ρ**: 11742 kg/m3
! **N(E_F)**: 0.368 states/eV per atom
! **Energy of formation from the pure elements**: -0.572 eV per atom
&SYSTEM
  ibrav = 0, nat = 12, ntyp = 3
/
ATOMIC_SPECIES
Ta 180.95 Ta.upf
Zn 65.41 Zn.upf
Rh 102.91 Rh.upf
CELL_PARAMETERS angstrom
2.199 -6.590 0.000
2.199 6.590 0.000
0.000 0.000 6.056
ATOMIC_POSITIONS angstrom
Ta 2.199 4.494 0.000
Ta 2.199 -4.494 0.000
Zn 2.199 4.362 3.028
Zn 2.199 0.000 0.000
Zn 2.199 0.000 3.028
Zn 2.199 -4.362 3.028
Rh 0.000 0.000 1.563
Rh 0.000 0.000 4.493
Rh 2.199 2.221 1.500
Rh 2.199 2.221 4.556
Rh 2.199 -2.221 1.500
Rh 2.199 -2.221 4.556

2.
! CsSnHgI2 (PBE-GGA, relaxed); values from VASP
! **Raw formation energy**: -0.65 eV per atom
! **ρ**: 4891 kg/m3
! **N(E_F)**: 0.616 states/eV per atom
&SYSTEM
  ibrav = 0, nat = 5, ntyp = 4
/
ATOMIC_SPECIES
Cs 132.91 Cs.upf
Sn 118.71 Sn.upf
Hg 200.59 Hg.upf
I 126.90 I.upf
CELL_PARAMETERS angstrom
6.400 0.000 0.000
0.000 6.400 0.000
0.000 0.000 5.852
ATOMIC_POSITIONS angstrom
Cs 0.000 0.000 0.000
Sn 3.200 3.200 2.926
Hg 3.200 3.200 0.000
I 0.000 3.200 2.926
I 3.200 0.000 2.926

3.
! Rb8Ag2Hg (PBE-GGA, relaxed); values from VASP
! **ρ**: 2767 kg/m3
! **N(E_F)**: 0.421 states/eV per atom
! **Energy of formation from the pure elements**: 0.008 eV per atom
&SYSTEM
  ibrav = 0, nat = 11, ntyp = 3
/
ATOMIC_SPECIES
Rb 85.47 Rb.upf
Ag 107.87 Ag.upf
Hg 200.59 Hg.upf
CELL_PARAMETERS angstrom
5.596 -8.214 0.000
5.596 8.214 0.000
-2.061 0.000 7.181
ATOMIC_POSITIONS angstrom
Rb 0.000 0.000 0.000
Rb 0.634 2.178 4.354
Rb 3.726 3.739 1.456
Rb 0.634 -2.178 4.354
Rb 4.727 2.208 5.797
Rb 3.726 -3.739 1.456
Rb 4.727 -2.208 5.797
Rb 7.300 0.000 2.817
Ag 2.673 5.216 4.997
Ag 2.673 -5.216 4.997
Hg 3.931 0.000 0.314

4.
! K3LiPb4 (PBE-GGA, relaxed); values from VASP
! **ΔE to the lowest computed polymorph**: 0 meV/atom
! **ρ**: 5362 kg/m3
! **N(E_F)**: 0.016 states/eV per atom
! **Energy of formation from the pure elements**: -0.249 eV per atom
&SYSTEM
  ibrav = 0, nat = 16, ntyp = 3
/
ATOMIC_SPECIES
K 39.10 K.upf
Li 6.94 Li.upf
Pb 207.20 Pb.upf
CELL_PARAMETERS angstrom
3.475 -8.091 0.000
3.475 8.091 0.000
0.000 0.000 10.499
ATOMIC_POSITIONS angstrom
K 3.475 6.250 5.704
K 3.475 6.250 10.044
K 3.475 3.597 2.625
K 3.475 -3.597 7.874
K 3.475 -6.250 0.454
K 3.475 -6.250 4.795
Li 3.475 0.000 0.000
Li 3.475 0.000 5.249
Pb 1.829 0.573 7.874
Pb 1.829 -0.573 2.625
Pb 3.475 2.771 6.325
Pb 3.475 2.771 9.423
Pb 3.475 -2.771 1.076
Pb 3.475 -2.771 4.174
Pb 5.120 0.573 7.874
Pb 5.120 -0.573 2.625

5.
! LiMg3Si (PBE-GGA, relaxed); values from VASP
! **ΔE to the lowest computed polymorph**: 325 meV/atom
! **Raw formation energy**: 0.56 eV per atom
! **ρ**: 1622 kg/m3
! **N(E_F)**: 0.343 states/eV per atom
&SYSTEM
  ibrav = 0, nat = 5, ntyp = 3
/
ATOMIC_SPECIES
Li 6.94 Li.upf
Mg 24.30 Mg.upf
Si 28.09 Si.upf
CELL_PARAMETERS angstrom
4.799 0.000 0.000
0.000 4.799 0.000
0.000 0.000 4.799
ATOMIC_POSITIONS angstrom
Li 0.000 0.000 0.000
Mg 0.000 0.000 2.399
Mg 0.000 2.399 0.000
Mg 2.399 0.000 0.000
Si 2.399 2.399 2.399

6.
! LiZnCo2 (PBE-GGA, relaxed); values from VASP
! **ρ**: 6454 kg/m3
! **N(E_F)**: 0.824 states/eV per atom
! **Energy of formation from the pure elements**: 0.022 eV per atom
&SYSTEM
  ibrav = 0, nat = 12, ntyp = 3
/
ATOMIC_SPECIES
Li 6.94 Li.upf
Zn 65.41 Zn.upf
Co 58.93 Co.upf
CELL_PARAMETERS angstrom
2.558 0.000 0.000
-1.279 2.216 0.000
0.000 0.000 25.900
ATOMIC_POSITIONS angstrom
Li 0.000 0.000 0.000
Li 0.000 1.477 17.267
Li 1.279 0.739 8.633
Zn 0.000 0.000 6.288
Zn 0.000 1.477 23.555
Zn 1.279 0.739 14.922
Co 0.000 0.000 12.728
Co 0.000 0.000 19.440
Co 0.000 1.477 4.095
Co 0.000 1.477 10.807
Co 1.279 0.739 2.173
Co 1.279 0.739 21.362

7.
! PmNd6Y4 (PBE-GGA, relaxed); values from VASP
! **ΔE to the lowest computed polymorph**: 0 meV/atom
! **ρ**: 5879 kg/m3
! **N(E_F)**: 1.614 states/eV per atom
! **Energy of formation from the pure elements**: 0.280 eV per atom
&SYSTEM
  ibrav = 0, nat = 11, ntyp = 3
/
ATOMIC_SPECIES
Pm 145.00 Pm.upf
Nd 144.24 Nd.upf
Y 88.91 Y.upf
CELL_PARAMETERS angstrom
-3.305 3.305 8.828
3.305 -3.305 8.828
3.305 3.305 -8.828
ATOMIC_POSITIONS angstrom
Pm 0.000 0.000 0.000
Nd 3.305 0.000 0.000
Nd 2.128 2.128 -2.348
Nd 1.178 -1.178 11.176
Nd 0.000 3.305 0.000
Nd 1.178 1.178 6.480
Nd -1.178 1.178 11.176
Y 2.077 -2.077 5.700
Y 1.228 1.228 3.129
Y -2.077 2.077 5.700
Y 2.077 2.077 11.957

8.
! Sr2MgZn4Sn3 (PBE-GGA, relaxed); values from VASP
! **ρ**: 5571 kg/m3
! **N(E_F)**: 0.203 states/eV per atom
! **Energy of formation from the pure elements**: -0.351 eV per atom
&SYSTEM
  ibrav = 0, nat = 10, ntyp = 4
/
ATOMIC_SPECIES
Sr 87.62 Sr.upf
Mg 24.30 Mg.upf
Zn 65.41 Zn.upf
Sn 118.71 Sn.upf
CELL_PARAMETERS angstrom
4.552 0.000 0.000
0.000 4.552 0.000
0.000 0.000 11.758
ATOMIC_POSITIONS angstrom
Sr 0.000 2.276 2.832
Sr 2.276 0.000 8.926
Mg 0.000 0.000 5.879
Zn 0.000 0.000 0.000
Zn 0.000 2.276 7.522
Zn 2.276 0.000 4.237
Zn 2.276 2.276 0.000
Sn 0.000 2.276 10.191
Sn 2.276 0.000 1.568
Sn 2.276 2.276 5.879

9.
! PrGe3Te6 (PBE-GGA, relaxed); values from VASP
! **Raw formation energy**: -0.37 eV per atom
! **ρ**: 5739 kg/m3
! **N(E_F)**: 0.260 states/eV per atom
&SYSTEM
  ibrav = 0, nat = 20, ntyp = 3
/
ATOMIC_SPECIES
Pr 140.91 Pr.upf
Ge 72.64 Ge.upf
Te 127.60 Te.upf
CELL_PARAMETERS angstrom
12.516 0.000 0.000
0.000 4.190 0.000
-5.495 0.000 12.407
ATOMIC_POSITIONS angstrom
Pr -0.456 1.047 2.705
Pr 7.477 3.142 9.702
Ge -1.434 1.047 8.765
Ge 3.227 3.142 1.238
Ge 2.576 3.142 8.044
Ge 4.446 1.047 4.363
Ge 3.795 1.047 11.169
Ge 8.456 3.142 3.643
Te -1.713 3.142 4.819
Te -4.181 1.047 12.162
Te -1.763 3.142 10.473
Te 1.839 3.142 3.582
Te 0.811 1.047 7.245
Te 5.067 1.047 1.719
Te 1.954 3.142 10.688
Te 6.211 3.142 5.162
Te 5.182 1.047 8.825
Te 8.784 1.047 1.934
Te 11.203 3.142 0.245
Te 8.734 1.047 7.588

10.
! Ac2La2SnGe4 (PBE-GGA, relaxed); values from VASP
! **ρ**: 7067 kg/m3
! **N(E_F)**: 1.038 states/eV per atom
! **Energy of formation from the pure elements**: -0.299 eV per atom
&SYSTEM
  ibrav = 0, nat = 9, ntyp = 4
/
ATOMIC_SPECIES
Ac 227.00 Ac.upf
La 138.91 La.upf
Sn 118.71 Sn.upf
Ge 72.64 Ge.upf
CELL_PARAMETERS angstrom
-3.811 3.811 4.615
3.811 -3.811 4.615
3.811 3.811 -4.615
ATOMIC_POSITIONS angstrom
Ac 3.811 0.000 2.308
Ac 0.000 3.811 2.308
La 0.000 0.000 1.597
La 0.000 0.000 7.633
Sn 0.000 0.000 4.615
Ge 1.870 1.870 0.000
Ge 1.941 -1.941 4.615
Ge -1.941 1.941 4.615
Ge 1.941 1.941 4.615

11.
! ZrGa2Co (PBE-GGA, relaxed); values from VASP
! **ρ**: 7665 kg/m3
! **N(E_F)**: 0.425 states/eV per atom
! **Energy of formation from the pure elements**: -0.207 eV per atom
&SYSTEM
  ibrav = 0, nat = 16, ntyp = 3
/
ATOMIC_SPECIES
Zr 91.22 Zr.upf
Ga 69.72 Ga.upf
Co 58.93 Co.upf
CELL_PARAMETERS angstrom
6.308 0.000 0.000
0.000 6.308 0.000
0.000 0.000 6.308
ATOMIC_POSITIONS angstrom
Zr 0.000 0.000 0.000
Zr 0.000 3.154 3.154
Zr 3.154 0.000 3.154
Zr 3.154 3.154 0.000
Ga 1.577 1.577 1.577
Ga 1.577 1.577 4.731
Ga 1.577 4.731 1.577
Ga 1.577 4.731 4.731
Ga 4.731 1.577 1.577
Ga 4.731 1.577 4.731
Ga 4.731 4.731 1.577
Ga 4.731 4.731 4.731
Co 0.000 0.000 3.154
Co 0.000 3.154 0.000
Co 3.154 0.000 0.000
Co 3.154 3.154 3.154

12.
! Sm4N2O (PBE-GGA, relaxed); values from VASP
! **Raw formation energy**: -1.61 eV per atom
! **ρ**: 8231 kg/m3
! **N(E_F)**: 0.656 states/eV per atom
&SYSTEM
  ibrav = 0, nat = 14, ntyp = 3
/
ATOMIC_SPECIES
Sm 150.36 Sm.upf
N 14.01 N.upf
O 16.00 O.upf
CELL_PARAMETERS angstrom
13.449 0.000 0.000
0.000 3.506 0.000
-2.702 0.000 5.524
ATOMIC_POSITIONS angstrom
Sm 0.983 0.000 1.624
Sm -0.385 1.753 4.492
Sm 4.408 0.000 1.032
Sm 3.039 1.753 3.900
Sm 7.708 1.753 1.624
Sm 6.340 0.000 4.492
Sm 11.132 1.753 1.032
Sm 9.764 0.000 3.900
N 1.306 0.000 4.081
N 2.717 1.753 1.443
N 8.031 1.753 4.081
N 9.441 0.000 1.443
O 0.000 1.753 0.000
O 6.725 0.000 0.000

13.
! CaNi3Cl (PBE-GGA, relaxed); values from VASP
! **ΔE to the lowest computed polymorph**: 0 meV/atom
! **Raw formation energy**: 0.28 eV per atom
! **ρ**: 5176 kg/m3
! **N(E_F)**: 0.802 states/eV per atom
&SYSTEM
  ibrav = 0, nat = 5, ntyp = 3
/
ATOMIC_SPECIES
Ca 40.08 Ca.upf
Ni 58.69 Ni.upf
Cl 35.45 Cl.upf
CELL_PARAMETERS angstrom
4.322 0.000 0.000
0.000 4.322 0.000
0.000 0.000 4.322
ATOMIC_POSITIONS angstrom
Ca 0.000 0.000 0.000
Ni 0.000 2.161 2.161
Ni 2.161 0.000 2.161
Ni 2.161 2.161 0.000
Cl 2.161 2.161 2.161

14.
! Li3BiPb (PBE-GGA, relaxed); values from VASP
! **ΔE to the lowest computed polymorph**: 0 meV/atom
! **ρ**: 6287 kg/m3
! **N(E_F)**: 0.068 states/eV per atom
! **Energy of formation from the pure elements**: -0.372 eV per atom
&SYSTEM
  ibrav = 0, nat = 10, ntyp = 3
/
ATOMIC_SPECIES
Li 6.94 Li.upf
Bi 208.98 Bi.upf
Pb 207.20 Pb.upf
CELL_PARAMETERS angstrom
6.499 0.000 0.000
0.000 4.751 0.000
-3.200 0.000 7.477
ATOMIC_POSITIONS angstrom
Li 0.859 1.188 0.132
Li 0.923 1.188 3.090
Li -0.364 3.563 6.200
Li 3.662 1.188 1.277
Li 2.375 3.563 4.387
Li 2.439 3.563 7.345
Bi 1.765 3.563 1.550
Bi 1.533 1.188 5.926
Pb -1.781 1.188 4.780
Pb 5.080 3.563 2.697

15.
! Ba3Zn2Rh (PBE-GGA, relaxed); values from VASP
! **ρ**: 5130 kg/m3
! **N(E_F)**: 0.755 states/eV per atom
! **Energy of formation from the pure elements**: -0.255 eV per atom
&SYSTEM
  ibrav = 0, nat = 24, ntyp = 3
/
ATOMIC_SPECIES
Ba 137.33 Ba.upf
Zn 65.41 Zn.upf
Rh 102.91 Rh.upf
CELL_PARAMETERS angstrom
13.457 0.000 0.000
0.000 4.541 0.000
0.000 0.000 13.683
ATOMIC_POSITIONS angstrom
Ba 0.859 1.135 1.750
Ba 1.509 3.405 7.588
Ba 2.894 1.135 10.895
Ba 3.834 3.405 4.054
Ba 5.219 1.135 0.746
Ba 5.869 3.405 8.592
Ba 7.588 1.135 5.091
Ba 8.238 3.405 12.937
Ba 9.623 1.135 9.629
Ba 10.563 3.405 2.788
Ba 11.948 1.135 6.095
Ba 12.598 3.405 11.933
Zn 0.577 3.405 4.381
Zn 2.885 3.405 13.431
Zn 3.844 1.135 6.589
Zn 6.152 1.135 11.222
Zn 7.305 3.405 2.461
Zn 9.614 3.405 7.094
Zn 10.572 1.135 0.252
Zn 12.881 1.135 9.302
Rh 1.731 1.135 5.015
Rh 4.997 3.405 11.857
Rh 8.460 1.135 1.826
Rh 11.726 3.405 8.667

16.
! TcSbAsI2 (PBE-GGA, relaxed); values from VASP
! **ΔE to the lowest computed polymorph**: 362 meV/atom
! **Raw formation energy**: 1.18 eV per atom
! **ρ**: 5286 kg/m3
! **N(E_F)**: 0.563 states/eV per atom
&SYSTEM
  ibrav = 0, nat = 5, ntyp = 4
/
ATOMIC_SPECIES
Tc 98.00 Tc.upf
Sb 121.76 Sb.upf
As 74.92 As.upf
I 126.90 I.upf
CELL_PARAMETERS angstrom
5.524 0.000 0.000
0.000 5.524 0.000
0.000 0.000 5.647
ATOMIC_POSITIONS angstrom
Tc 0.000 0.000 0.000
Sb 2.762 2.762 0.000
As 2.762 2.762 2.823
I 0.000 2.762 2.823
I 2.762 0.000 2.823

17.
! CrPt2Se (PBE-GGA, relaxed); values from VASP
! **Raw formation energy**: 0.03 eV per atom
! **ρ**: 14013 kg/m3
! **N(E_F)**: 0.400 states/eV per atom
&SYSTEM
  ibrav = 0, nat = 12, ntyp = 3
/
ATOMIC_SPECIES
Cr 52.00 Cr.upf
Pt 195.08 Pt.upf
Se 78.96 Se.upf
CELL_PARAMETERS angstrom
2.857 0.000 0.000
-1.428 2.474 0.000
0.000 0.000 26.211
ATOMIC_POSITIONS angstrom
Cr 0.000 0.000 0.000
Cr 0.000 1.649 17.474
Cr 1.428 0.825 8.737
Pt 0.000 0.000 13.136
Pt 0.000 0.000 19.519
Pt 0.000 1.649 4.399
Pt 0.000 1.649 10.782
Pt 1.428 0.825 2.045
Pt 1.428 0.825 21.873
Se 0.000 0.000 7.008
Se 0.000 1.649 24.482
Se 1.428 0.825 15.745

18.
! Tb2Pm9Th (PBE-GGA, relaxed); values from VASP
! **ρ**: 7597 kg/m3
! **N(E_F)**: 1.570 states/eV per atom
! **Energy of formation from the pure elements**: 0.029 eV per atom
&SYSTEM
  ibrav = 0, nat = 12, ntyp = 3
/
ATOMIC_SPECIES
Tb 158.93 Tb.upf
Pm 145.00 Pm.upf
Th 232.04 Th.upf
CELL_PARAMETERS angstrom
5.131 0.000 0.000
0.000 5.131 0.000
0.000 0.000 15.401
ATOMIC_POSITIONS angstrom
Tb 0.000 0.000 2.565
Tb 0.000 0.000 12.836
Pm 0.000 2.565 0.000
Pm 0.000 2.565 5.166
Pm 0.000 2.565 10.235
Pm 2.565 0.000 0.000
Pm 2.565 0.000 5.166
Pm 2.565 0.000 10.235
Pm 2.565 2.565 2.544
Pm 2.565 2.565 7.700
Pm 2.565 2.565 12.857
Th 0.000 0.000 7.700

19.
! CsSr2PrCl8 (PBE-GGA, relaxed); values from VASP
! **Raw formation energy**: -2.30 eV per atom
! **ρ**: 2778 kg/m3
! **N(E_F)**: 0.000 states/eV per atom
&SYSTEM
  ibrav = 0, nat = 12, ntyp = 4
/
ATOMIC_SPECIES
Cs 132.91 Cs.upf
Sr 87.62 Sr.upf
Pr 140.91 Pr.upf
Cl 35.45 Cl.upf
CELL_PARAMETERS angstrom
6.771 0.000 0.000
0.000 9.351 0.000
-0.042 0.000 6.917
ATOMIC_POSITIONS angstrom
Cs 0.000 0.000 0.000
Sr 3.364 2.325 3.458
Sr 3.364 7.026 3.458
Pr 0.000 4.675 0.000
Cl 1.598 2.753 1.169
Cl 1.598 6.598 1.169
Cl 1.770 4.675 4.704
Cl 1.840 0.000 4.216
Cl 4.888 0.000 2.701
Cl 4.958 4.675 2.213
Cl 5.131 2.753 5.748
Cl 5.131 6.598 5.748

20.
! Tm2PuZr (PBE-GGA, relaxed); values from VASP
! **ΔE to the lowest computed polymorph**: 213 meV/atom
! **ρ**: 10253 kg/m3
! **N(E_F)**: 2.674 states/eV per atom
! **Energy of formation from the pure elements**: 0.324 eV per atom
&SYSTEM
  ibrav = 0, nat = 12, ntyp = 3
/
ATOMIC_SPECIES
Tm 168.93 Tm.upf
Pu 244.00 Pu.upf
Zr 91.22 Zr.upf
CELL_PARAMETERS angstrom
3.264 0.000 0.000
-1.632 2.827 0.000
0.000 0.000 35.435
ATOMIC_POSITIONS angstrom
Tm 0.000 0.000 3.121
Tm 0.000 0.000 32.314
Tm 0.000 1.885 20.502
Tm 0.000 1.885 26.745
Tm 1.632 0.942 8.690
Tm 1.632 0.942 14.933
Pu 0.000 0.000 17.717
Pu 0.000 1.885 5.906
Pu 1.632 0.942 29.529
Zr 0.000 0.000 0.000
Zr 0.000 1.885 23.623
Zr 1.632 0.942 11.812